Record 1
NaLiPuS3: relaxed, PBE.

abc: 7.0791 4.0199 9.8534
angles: 90.00 99.50 90.00
Sites, in units of the cell vectors:
Na 0.1228 0.2500 0.1813
Na 0.8772 0.7500 0.8187
Li 0.1561 0.7500 0.5584
Li 0.8439 0.2500 0.4416
Pu 0.3789 0.2500 0.8270
Pu 0.6211 0.7500 0.1730
S 0.0424 0.2500 0.6720
S 0.2807 0.7500 0.9931
S 0.4893 0.7500 0.6856
S 0.5107 0.2500 0.3144
S 0.7193 0.2500 0.0069
S 0.9576 0.7500 0.3280

Values from the calculation:
Uncorrected formation energy ... -1.360 eV per atom



Record 2
Ho2TmPuS6: relaxed, PBE.

abc: 7.3551 7.3551 7.3551
angles: 55.85 55.85 55.85
Sites, in units of the cell vectors:
Ho 0.0000 0.0000 0.0000
Ho 0.4985 0.4985 0.4985
Tm 0.6982 0.6982 0.6982
Pu 0.2002 0.2002 0.2002
S 0.0968 0.4030 0.7948
S 0.2989 0.8924 0.6077
S 0.4030 0.7948 0.0968
S 0.6077 0.2989 0.8924
S 0.7948 0.0968 0.4030
S 0.8924 0.6077 0.2989

Values from the calculation:
Uncorrected formation energy ... -1.919 eV per atom



Record 3
CeDy5Au6: relaxed, PBE.

abc: 8.8910 8.8910 8.8910
angles: 146.50 132.29 59.54
Sites, in units of the cell vectors:
Ce 0.0000 0.0000 0.0000
Dy 0.1648 0.6648 0.5000
Dy 0.3318 0.3318 0.0000
Dy 0.5000 0.0000 0.5000
Dy 0.6682 0.6682 0.0000
Dy 0.8352 0.3352 0.5000
Au 0.0860 0.8293 0.2567
Au 0.2635 0.5000 0.7635
Au 0.4275 0.1707 0.2567
Au 0.5725 0.8293 0.7433
Au 0.7365 0.5000 0.2365
Au 0.9140 0.1707 0.7433

Values from the calculation:
DFT formation energy ... -0.809 eV/atom



Record 4
InBiSb: relaxed, PBE.

abc: 3.3016 6.1971 9.5639
angles: 107.99 98.80 90.22
Sites, in units of the cell vectors:
In 0.0000 0.0000 0.0000
In 0.4867 0.3477 0.6654
Bi 0.2990 0.8562 0.6828
Bi 0.7770 0.1729 0.3361
Sb 0.9103 0.6671 0.3289
Sb 0.9114 0.4992 0.9995

Values from the calculation:
Uncorrected formation energy ... 0.057 eV per atom



| no. | calculated density (Mg/m³) |
| --- | --- |
| 1 | 4.445 |
| 2 | 6.107 |
| 3 | 12.464 |
| 4 | 8.057 |